ZnAg2Br PBE-GGA relaxed; density of states at the Fermi level = 0.24 states/eV per atom; total magnetization = 0.00 μB/f.u.; excess energy over the best structure of this formula in the dataset = 8.3 meV/atom; E_tot = -2.20 eV/atom; formation energy without anion corrections = -0.033 eV/atom
1.0
3.6413 0.0000 0.0000
0.0000 3.4507 0.0000
-0.0149 0.0000 6.9661
Zn Ag Br
1 2 1
Cartesian
0.0000 0.0000 0.0000
1.8049 1.7254 5.7921
3.6245 0.0000 4.3268
-0.0011 1.7254 1.9908